(1)
This record from OQMD via LeMat-Bulk describes a relaxed structure of CoCuReBi. The functional is GGA-PBE.

The density comes out at 13.5 g/cm³. The space-group type is F-43m. Its excess energy over the best structure of this formula in the dataset is 0.000 eV per atom.

Lattice parameters (Å, degrees): 4.482 4.482 4.482 60.00 60.00 60.00
Positions (direct):
Co 0.000 0.000 0.000
Cu 0.750 0.750 0.750
Re 0.250 0.250 0.250
Bi 0.500 0.500 0.500

(2)
This record from OQMD via LeMat-Bulk describes a relaxed structure of TaCoCuBi. The functional is GGA-PBE.

The density comes out at 12.9 g/cm³. The space-group type is F-43m. Its excess energy over the best structure of this formula in the dataset is 0.000 eV per atom.

Lattice parameters (Å, degrees): 4.532 4.532 4.532 60.00 60.00 60.00
Positions (direct):
Ta 0.000 0.000 0.000
Co 0.750 0.750 0.750
Cu 0.250 0.250 0.250
Bi 0.500 0.500 0.500

(3)
This record from OQMD via LeMat-Bulk describes a relaxed structure of TaCoCuBi. The functional is GGA-PBE.

The density comes out at 12.6 g/cm³. The space-group type is F-43m. Its excess energy over the best structure of this formula in the dataset is 0.145 eV per atom.

Lattice parameters (Å, degrees): 4.571 4.571 4.571 60.00 60.00 60.00
Positions (direct):
Ta 0.000 0.000 0.000
Co 0.750 0.750 0.750
Cu 0.500 0.500 0.500
Bi 0.250 0.250 0.250

(4)
This record from OQMD via LeMat-Bulk describes a relaxed structure of CoCuTcBi. The functional is GGA-PBE.

The density comes out at 11.2 g/cm³. The space-group type is F-43m. Its excess energy over the best structure of this formula in the dataset is 0.000 eV per atom.

Lattice parameters (Å, degrees): 4.489 4.489 4.489 60.00 60.00 60.00
Positions (direct):
Co 0.000 0.000 0.000
Cu 0.500 0.500 0.500
Tc 0.250 0.250 0.250
Bi 0.750 0.750 0.750

(5)
This record from OQMD via LeMat-Bulk describes a relaxed structure of CoCuBiW. The functional is GGA-PBE.

The density comes out at 13.3 g/cm³. The space-group type is F-43m. Its excess energy over the best structure of this formula in the dataset is 0.000 eV per atom.

Lattice parameters (Å, degrees): 4.494 4.494 4.494 60.00 60.00 60.00
Positions (direct):
Co 0.000 0.000 0.000
Cu 0.500 0.500 0.500
Bi 0.750 0.750 0.750
W 0.250 0.250 0.250

(6)
This record from OQMD via LeMat-Bulk describes a relaxed structure of CoCuBiW. The functional is GGA-PBE.

The density comes out at 13.1 g/cm³. The space-group type is F-43m. Its excess energy over the best structure of this formula in the dataset is 0.025 eV per atom.

Lattice parameters (Å, degrees): 4.519 4.519 4.519 60.00 60.00 60.00
Positions (direct):
Co 0.000 0.000 0.000
Cu 0.750 0.750 0.750
Bi 0.500 0.500 0.500
W 0.250 0.250 0.250

(7)
This record from OQMD via LeMat-Bulk describes a relaxed structure of YCoCuBi. The functional is GGA-PBE.

The density comes out at 8.6 g/cm³. The space-group type is F-43m. Its excess energy over the best structure of this formula in the dataset is 0.278 eV per atom.

Lattice parameters (Å, degrees): 4.860 4.860 4.860 60.00 60.00 60.00
Positions (direct):
Y 0.000 0.000 0.000
Co 0.750 0.750 0.750
Cu 0.500 0.500 0.500
Bi 0.250 0.250 0.250

(8)
This record from OQMD via LeMat-Bulk describes a relaxed structure of YCoCuBi. The functional is GGA-PBE.

The density comes out at 9.1 g/cm³. The space-group type is F-43m. Its excess energy over the best structure of this formula in the dataset is 0.163 eV per atom.

Lattice parameters (Å, degrees): 4.773 4.773 4.773 60.00 60.00 60.00
Positions (direct):
Y 0.000 0.000 0.000
Co 0.500 0.500 0.500
Cu 0.750 0.750 0.750
Bi 0.250 0.250 0.250

(9)
This record from OQMD via LeMat-Bulk describes a relaxed structure of YCoCuBi. The functional is GGA-PBE.

The density comes out at 9.4 g/cm³. The space-group type is F-43m. Its excess energy over the best structure of this formula in the dataset is 0.000 eV per atom.

Lattice parameters (Å, degrees): 4.714 4.714 4.714 60.00 60.00 60.00
Positions (direct):
Y 0.000 0.000 0.000
Co 0.750 0.750 0.750
Cu 0.250 0.250 0.250
Bi 0.500 0.500 0.500

(10)
This record from OQMD via LeMat-Bulk describes a relaxed structure of ZrCoCuBi. The functional is GGA-PBE.

The density comes out at 10.0 g/cm³. The space-group type is F-43m. Its excess energy over the best structure of this formula in the dataset is 0.212 eV per atom.

Lattice parameters (Å, degrees): 4.626 4.626 4.626 60.00 60.00 60.00
Positions (direct):
Zr 0.000 0.000 0.000
Co 0.500 0.500 0.500
Cu 0.750 0.750 0.750
Bi 0.250 0.250 0.250

(11)
This record from OQMD via LeMat-Bulk describes a relaxed structure of ZrCoCuBi. The functional is GGA-PBE.

The density comes out at 9.7 g/cm³. The space-group type is F-43m. Its excess energy over the best structure of this formula in the dataset is 0.245 eV per atom.

Lattice parameters (Å, degrees): 4.673 4.673 4.673 60.00 60.00 60.00
Positions (direct):
Zr 0.000 0.000 0.000
Co 0.750 0.750 0.750
Cu 0.500 0.500 0.500
Bi 0.250 0.250 0.250

(12)
This record from OQMD via LeMat-Bulk describes a relaxed structure of ZrCoCuBi. The functional is GGA-PBE.

The density comes out at 10.2 g/cm³. The space-group type is F-43m. Its excess energy over the best structure of this formula in the dataset is 0.000 eV per atom.

Lattice parameters (Å, degrees): 4.594 4.594 4.594 60.00 60.00 60.00
Positions (direct):
Zr 0.000 0.000 0.000
Co 0.750 0.750 0.750
Cu 0.250 0.250 0.250
Bi 0.500 0.500 0.500

(13)
This record from OQMD via LeMat-Bulk describes a relaxed structure of Dy12Co6Bi. The functional is GGA-PBE.

The final energy comes out at -107.45 eV per cell. The density comes out at 9.2 g/cm³. The space-group type is Im-3.

Lattice parameters (Å, degrees): 8.389 8.389 8.389 109.47 109.47 109.47
Positions (direct):
Dy 0.110 0.306 0.804
Dy 0.196 0.503 0.306
Dy 0.196 0.890 0.694
Dy 0.306 0.196 0.503
Dy 0.306 0.804 0.110
Dy 0.497 0.694 0.804
Dy 0.503 0.306 0.196
Dy 0.694 0.196 0.890
Dy 0.694 0.804 0.497
Dy 0.804 0.110 0.306
Dy 0.804 0.497 0.694
Dy 0.890 0.694 0.196
Co 0.113 0.500 0.613
Co 0.387 0.887 0.500
Co 0.500 0.387 0.887
Co 0.500 0.613 0.113
Co 0.613 0.113 0.500
Co 0.887 0.500 0.387
Bi 0.000 0.000 0.000

(14)
This record from OQMD via LeMat-Bulk describes a relaxed structure of Er3Lu3CoBi2. The functional is GGA-PBE.

The final energy comes out at -46.41 eV per cell. The density comes out at 10.5 g/cm³. The space-group type is P-62m.

Lattice parameters (Å, degrees): 8.248 8.248 4.027 90.00 90.00 120.00
Positions (direct):
Er 0.000 0.768 0.000
Er 0.232 0.232 0.000
Er 0.768 0.000 0.000
Lu 0.000 0.387 0.500
Lu 0.387 0.000 0.500
Lu 0.613 0.613 0.500
Co 0.000 0.000 0.500
Bi 0.333 0.667 0.000
Bi 0.667 0.333 0.000

(15)
This record from OQMD via LeMat-Bulk describes a relaxed structure of Er3Sc3CoBi2. The functional is GGA-PBE.

The final energy comes out at -44.74 eV per cell. The density comes out at 7.8 g/cm³. The space-group type is P-62m.

Lattice parameters (Å, degrees): 9.278 9.278 3.171 90.00 90.00 120.00
Positions (direct):
Er 0.000 0.714 0.000
Er 0.286 0.286 0.000
Er 0.714 0.000 0.000
Sc 0.000 0.356 0.000
Sc 0.356 0.000 0.000
Sc 0.644 0.644 0.000
Co 0.000 0.000 0.000
Bi 0.333 0.667 0.000
Bi 0.667 0.333 0.000

(16)
This record from OQMD via LeMat-Bulk describes a relaxed structure of FeCoBi2. The functional is GGA-PBE.

The final energy comes out at -20.02 eV per cell. The density comes out at 10.3 g/cm³. The space-group type is F-43m.

Lattice parameters (Å, degrees): 4.946 4.946 4.946 60.00 60.00 60.00
Positions (direct):
Fe 0.000 0.000 0.000
Co 0.750 0.750 0.750
Bi 0.250 0.250 0.250
Bi 0.500 0.500 0.500

(17)
This record from OQMD via LeMat-Bulk describes a relaxed structure of HfFeCoBi. The functional is GGA-PBE.

The density comes out at 12.9 g/cm³. The space-group type is F-43m. Its excess energy over the best structure of this formula in the dataset is 0.000 eV per atom.

Lattice parameters (Å, degrees): 4.501 4.501 4.501 60.00 60.00 60.00
Positions (direct):
Hf 0.000 0.000 0.000
Fe 0.250 0.250 0.250
Co 0.750 0.750 0.750
Bi 0.500 0.500 0.500

(18)
This record from OQMD via LeMat-Bulk describes a relaxed structure of HfFeCoBi. The functional is GGA-PBE.

The density comes out at 12.0 g/cm³. The space-group type is F-43m. Its excess energy over the best structure of this formula in the dataset is 0.343 eV per atom.

Lattice parameters (Å, degrees): 4.609 4.609 4.609 60.00 60.00 60.00
Positions (direct):
Hf 0.000 0.000 0.000
Fe 0.750 0.750 0.750
Co 0.500 0.500 0.500
Bi 0.250 0.250 0.250

(19)
This record from OQMD via LeMat-Bulk describes a relaxed structure of HfFeCoBi. The functional is GGA-PBE.

The density comes out at 11.9 g/cm³. The space-group type is F-43m. Its excess energy over the best structure of this formula in the dataset is 0.372 eV per atom.

Lattice parameters (Å, degrees): 4.622 4.622 4.622 60.00 60.00 60.00
Positions (direct):
Hf 0.000 0.000 0.000
Fe 0.500 0.500 0.500
Co 0.750 0.750 0.750
Bi 0.250 0.250 0.250

(20)
This record from OQMD via LeMat-Bulk describes a relaxed structure of NbFeCoBi. The functional is GGA-PBE.

The density comes out at 10.5 g/cm³. The space-group type is F-43m. Its excess energy over the best structure of this formula in the dataset is 0.148 eV per atom.

Lattice parameters (Å, degrees): 4.537 4.537 4.537 60.00 60.00 60.00
Positions (direct):
Nb 0.000 0.000 0.000
Fe 0.750 0.750 0.750
Co 0.500 0.500 0.500
Bi 0.250 0.250 0.250